[1]
Ti2BeTcOs: relaxed, PBE.

## Properties
The electronic total energy comes out at -36.914 eV for the cell shown.

Lattice parameters (Å, degrees): 4.684 4.684 4.138 90.00 90.00 90.00
Sites, in units of the cell vectors:
Ti  0.000  0.500  0.000
Ti  0.500  0.000  0.000
Be  0.000  0.000  0.500
Tc  0.500  0.500  0.500
Os  0.000  0.000  0.000

=====

[2]
NdCoH6Pd: relaxed, PBE.

## Properties
The electronic total energy comes out at -40.113 eV for the cell shown.

Lattice parameters (Å, degrees): 4.636 4.636 4.190 90.00 90.00 120.00
Sites, in units of the cell vectors:
Nd  0.000  0.000  0.000
Co  0.667  0.333  0.500
H  0.519  0.038  0.244
H  0.519  0.038  0.756
H  0.519  0.481  0.244
H  0.519  0.481  0.756
H  0.962  0.481  0.244
H  0.962  0.481  0.756
Pd  0.333  0.667  0.500

=====

Q: The highest electronic total energy belongs to which entry?
A: Ti2BeTcOs

=====

Q: The lowest electronic total energy belongs to which entry?
A: NdCoH6Pd

=====

Q: What is the formula in the second record?
A: NdCoH6Pd

=====

Q: Which value of electronic total energy does entry 2 give?
A: -40.113 eV for the cell shown